PuUCuO6 | GGA-PBE | optimized geometry

a = 5.7821 Å, b = 5.7821 Å, c = 8.8206 Å
α = 90.00°, β = 90.00°, γ = 120.00°
Closest atoms and distances in Å follow each position.
Space group P-31c (No. 163)
Unique sites:
Pu1 0.3333 0.6667 0.2500  6 O 2.16
U1 0.3333 0.6667 0.7500  6 O 2.11
Cu1 0.0000 0.0000 0.0000  6 O 2.35
O1 0.0071 0.3550 0.6348  1 U 2.11, 1 Pu 2.16, 1 Cu 2.35

Output
* volume: 255 Å³/cell
* M_tot: 0.333 μB/atom
* energy relative to the elements, uncorrected: -2.300 eV per atom